## KU2Pd2Se6 (GGA-PBE)

Data for a relaxed KU2Pd2Se6 crystal.

Cell: 7.434 6.912 8.308 Å, 122.15 86.64 63.58°
Site moments in Bohr magnetons follow the coordinates.
Element x y z (fractional)
Se1 0.798 0.217 0.466  -0.05
Se2 0.202 0.783 0.534  -0.05
Se3 0.029 0.598 0.851  -0.07
Se4 0.429 0.824 0.083  -0.06
Se5 0.971 0.402 0.149  -0.07
Se6 0.571 0.176 0.917  -0.06
U1 0.835 0.320 0.830  0.86
U2 0.165 0.680 0.170  0.86
Pd1 0.786 0.151 0.138  -0.14
Pd2 0.214 0.849 0.862  -0.14
K1 0.500 0.000 0.500  0.00

VASP energy (eV per atom): -5.84
Crystal system: triclinic


## Cs3PuAg2Br9 (GGA-PBE)

Data for a relaxed Cs3PuAg2Br9 crystal.

Cell: 8.029 8.029 9.875 Å, 90.00 90.00 120.00°
Site moments in Bohr magnetons follow the coordinates.
Element x y z (fractional)
Br1 0.165 0.835 0.338  -0.06
Br2 0.670 0.835 0.338  -0.06
Br3 0.330 0.165 0.662  -0.06
Br4 0.835 0.670 0.662  -0.06
Br5 0.000 0.500 0.000  -0.02
Br6 0.500 0.500 0.000  -0.02
Br7 0.165 0.330 0.338  -0.06
Br8 0.500 0.000 0.000  -0.02
Br9 0.835 0.165 0.662  -0.06
Ag1 0.333 0.667 0.149  -0.05
Ag2 0.667 0.333 0.851  -0.05
Cs1 0.333 0.667 0.700  0.00
Cs2 0.000 0.000 0.000  0.00
Cs3 0.667 0.333 0.300  0.00
Pu1 0.000 0.000 0.500  4.72

VASP energy (eV per atom): -3.78
Crystal system: trigonal


## LaRuRh2 (GGA-PBE)

Data for a relaxed LaRuRh2 crystal.

Cell: 4.075 4.167 4.167 Å, 90.00 90.00 90.00°
Element x y z (fractional)
Ru1 0.500 0.500 0.000
Rh1 0.000 0.500 0.500
Rh2 0.000 0.000 0.000
La1 0.500 0.000 0.500

VASP energy (eV per atom): -7.32
Crystal system: tetragonal
DFT formation energy (meV per atom): -98
ΔE to the lowest computed polymorph (meV/atom): 0


## NpPaTi (GGA-PBE)

Data for a relaxed NpPaTi crystal.

Cell: 4.851 7.631 7.631 Å, 84.20 71.46 71.46°
Site moments in Bohr magnetons follow the coordinates.
Element x y z (fractional)
Pa1 0.500 0.200 0.800  0.06
Pa2 0.700 0.800 0.800  0.06
Pa3 0.500 0.800 0.200  0.06
Pa4 0.300 0.200 0.200  0.06
Ti1 0.819 0.363 0.000  -0.04
Ti2 0.181 0.000 0.637  -0.04
Ti3 0.819 0.000 0.363  -0.04
Ti4 0.181 0.637 0.000  -0.04
Np1 0.000 0.621 0.379  1.26
Np2 0.000 0.379 0.621  1.26
Np3 0.621 0.379 0.379  1.26
Np4 0.379 0.621 0.621  1.26

VASP energy (eV per atom): -9.64
Crystal system: tetragonal
DFT formation energy (meV per atom): 467


## Rb2BSeCl6 (GGA-PBE)

Data for a relaxed Rb2BSeCl6 crystal.

Cell: 7.296 7.296 7.533 Å, 61.03 61.03 90.00°
Site moments in Bohr magnetons follow the coordinates.
Element x y z (fractional)
B1 0.500 0.500 0.000  0.00
Se1 0.000 0.000 0.000  0.47
Cl1 0.694 0.306 0.000  0.04
Cl2 0.221 0.221 0.558  0.03
Cl3 0.306 0.306 0.000  0.04
Cl4 0.694 0.694 0.000  0.04
Cl5 0.779 0.779 0.442  0.03
Cl6 0.306 0.694 0.000  0.04
Rb1 0.250 0.750 0.500  0.00
Rb2 0.750 0.250 0.500  0.00

VASP energy (eV per atom): -3.12
Crystal system: tetragonal


## LiSc2BeC (GGA-PBE)

Data for a relaxed LiSc2BeC crystal.

Cell: 4.602 4.602 3.556 Å, 90.00 90.00 90.00°
Element x y z (fractional)
C1 0.000 0.000 0.000
Li1 0.500 0.500 0.500
Sc1 0.500 0.000 0.000
Sc2 0.000 0.500 0.000
Be1 0.000 0.000 0.500

VASP energy (eV per atom): -5.62
Crystal system: tetragonal
DFT formation energy (meV per atom): -112


## LiTeOs (GGA-PBE)

Data for a relaxed LiTeOs crystal.

Cell: 7.276 6.970 3.070 Å, 83.19 72.04 24.77°
Element x y z (fractional)
Te1 0.680 0.680 0.320
Li1 0.987 0.987 0.013
Os1 0.333 0.333 0.667

VASP energy (eV per atom): -4.77
Crystal system: orthorhombic
ΔE to the lowest computed polymorph (meV/atom): 445


## P2RuSeN (GGA-PBE)

Data for a relaxed P2RuSeN crystal.

Cell: 3.607 4.097 6.146 Å, 107.47 91.73 110.69°
Element x y z (fractional)
P1 0.688 0.906 0.147
P2 0.689 0.635 0.420
Se1 0.148 0.509 0.835
N1 0.496 0.171 0.344
Ru1 0.309 0.944 0.617

VASP energy (eV per atom): -6.37
Crystal system: triclinic
ΔE to the lowest computed polymorph (meV/atom): 77


Question: Which formula does entry 6 have?
Answer: LiSc2BeC


Question: Which of these has the lowest VASP energy?
Answer: NpPaTi


Question: Which value of VASP energy does entry 8 give?
Answer: -6.37 eV per atom


Question: VASP energy of number 2 (Cs3PuAg2Br9)?
Answer: -3.78 eV per atom